*P*
A relaxed structure of BaPrIn. Source: Alexandria, functional PBE-GGA.

Geometry as POSCAR:
```
BaPrIn
1.0
5.3232 0.0000 0.0000
0.0000 5.3232 0.0000
0.0000 0.0000 8.5498
Ba Pr In
2 2 2
Cartesian
0.0000 2.6616 7.3563
2.6616 0.0000 1.1936
0.0000 0.0000 4.2749
2.6616 2.6616 4.2749
2.6616 0.0000 6.2132
0.0000 2.6616 2.3366
```

*Q*
A relaxed structure of BaPrIn. Source: Alexandria, functional PBE-GGA.

Geometry as POSCAR:
```
BaPrIn
1.0
-0.1889 1.2180 -3.9239
1.2079 -3.7380 -1.2185
-7.2138 -0.8030 2.2536
Ba Pr In
1 1 1
Cartesian
-0.2594 -0.0798 -0.0123
-3.9500 -1.2155 -0.1871
-1.9854 -2.0277 -2.6894
```

Name the least stable of them. *Q*.